No. 1
# AcPm3Al8 PBE optimized geometry
# Relative energy among the computed polymorphs ... 13 meV/atom
# Energy of formation from the pure elements ... -0.447 eV per atom
data_AcPm3Al8
_symmetry_space_group_name_H-M 'P 3 m 1'
_symmetry_Int_Tables_number 156
_symmetry_space_group_name_Hall 'P 3 -2"'
_cell_length_a 5.7121
_cell_length_b 5.7121
_cell_length_c 9.4310
_cell_angle_alpha 90.00
_cell_angle_beta 90.00
_cell_angle_gamma 120.00
loop_
_atom_site_label
_atom_site_fract_x
_atom_site_fract_y
_atom_site_fract_z
_atom_site_occupancy
Ac1 0.0000 0.0000 0.0000 1
Pm1 0.0000 0.0000 0.3646 1
Pm2 0.6667 0.3333 0.5001 1
Pm3 0.6667 0.3333 0.8630 1
Al1 0.1626 0.3252 0.6766 1
Al2 0.3333 0.6667 0.4356 1
Al3 0.3333 0.6667 0.9298 1
Al4 0.5047 0.0094 0.1904 1

***

No. 2
# Ce2NdDyS4 PBE optimized geometry
# ΔE_f (raw) ... -1566 kJ/mol of formula units
data_Ce2NdDyS4
_symmetry_space_group_name_H-M 'P 1 2/m 1'
_symmetry_Int_Tables_number 10
_symmetry_space_group_name_Hall '-P 2y'
_cell_length_a 6.944
_cell_length_b 3.996
_cell_length_c 6.960
_cell_angle_alpha 90.00
_cell_angle_beta 109.31
_cell_angle_gamma 90.00
loop_
_atom_site_label
_atom_site_fract_x
_atom_site_fract_y
_atom_site_fract_z
_atom_site_occupancy
Ce1 0.000 0.000 0.000 1
Ce2 0.500 0.500 0.000 1
Nd1 0.000 0.500 0.500 1
Dy1 0.500 0.000 0.500 1
S1 0.256 0.000 0.748 1
S2 0.259 0.500 0.257 1

***

No. 3
# LiRe2Ru PBE optimized geometry
# Relative energy among the computed polymorphs ... 160 meV/atom
# Energy of formation from the pure elements ... 0.287 eV per atom
data_LiRe2Ru
_symmetry_space_group_name_H-M 'P m m m'
_symmetry_Int_Tables_number 47
_symmetry_space_group_name_Hall '-P 2 2'
_cell_length_a 2.998
_cell_length_b 4.238
_cell_length_c 4.407
_cell_angle_alpha 90.00
_cell_angle_beta 90.00
_cell_angle_gamma 90.00
loop_
_atom_site_label
_atom_site_fract_x
_atom_site_fract_y
_atom_site_fract_z
_atom_site_occupancy
Li1 0.000 0.000 0.000 1
Re1 0.000 0.500 0.500 1
Re2 0.500 0.000 0.500 1
Ru1 0.500 0.500 0.000 1

***

No. 4
# PdI2N2 PBE optimized geometry
# ΔE_f (raw) ... 783 kJ/mol of formula units
# Relative energy among the computed polymorphs ... 1661 meV/atom
data_PdI2N2
_symmetry_space_group_name_H-M 'P 4/m m m'
_symmetry_Int_Tables_number 123
_symmetry_space_group_name_Hall '-P 4 2'
_cell_length_a 5.832
_cell_length_b 5.832
_cell_length_c 3.702
_cell_angle_alpha 90.00
_cell_angle_beta 90.00
_cell_angle_gamma 90.00
loop_
_atom_site_label
_atom_site_fract_x
_atom_site_fract_y
_atom_site_fract_z
_atom_site_occupancy
Pd1 0.000 0.000 0.000 1
I1 0.000 0.500 0.000 1
N1 0.000 0.000 0.500 1
N2 0.500 0.500 0.500 1

***

No. 5
# SiPHO2 PBE optimized geometry
# Relative energy among the computed polymorphs ... 1048 meV/atom
data_SiPHO2
_symmetry_space_group_name_H-M 'P 4/m m m'
_symmetry_Int_Tables_number 123
_symmetry_space_group_name_Hall '-P 4 2'
_cell_length_a 4.051
_cell_length_b 4.051
_cell_length_c 2.956
_cell_angle_alpha 90.00
_cell_angle_beta 90.00
_cell_angle_gamma 90.00
loop_
_atom_site_label
_atom_site_fract_x
_atom_site_fract_y
_atom_site_fract_z
_atom_site_occupancy
Si1 0.000 0.000 0.000 1
P1 0.500 0.500 0.000 1
H1 0.500 0.500 0.500 1
O1 0.000 0.500 0.500 1

***

No. 6
# YHIN2 PBE optimized geometry
# Total energy ... -22.8 eV/cell
data_YHIN2
_symmetry_space_group_name_H-M 'P 4/m m m'
_symmetry_Int_Tables_number 123
_symmetry_space_group_name_Hall '-P 4 2'
_cell_length_a 4.720
_cell_length_b 4.720
_cell_length_c 6.119
_cell_angle_alpha 90.00
_cell_angle_beta 90.00
_cell_angle_gamma 90.00
loop_
_atom_site_label
_atom_site_fract_x
_atom_site_fract_y
_atom_site_fract_z
_atom_site_occupancy
Y1 0.000 0.000 0.000 1
H1 0.500 0.500 0.500 1
I1 0.000 0.000 0.500 1
N1 0.000 0.500 0.000 1

***

No. 7
# AgSnBi2 PBE optimized geometry
# Energy of formation from the pure elements ... 0.212 eV per atom
data_AgSnBi2
_symmetry_space_group_name_H-M 'R -3 m'
_symmetry_Int_Tables_number 166
_symmetry_space_group_name_Hall '-R 3 2"'
_cell_length_a 3.4024
_cell_length_b 3.4024
_cell_length_c 34.8207
_cell_angle_alpha 90.00
_cell_angle_beta 90.00
_cell_angle_gamma 120.00
loop_
_atom_site_label
_atom_site_fract_x
_atom_site_fract_y
_atom_site_fract_z
_atom_site_occupancy
Ag1 0.0000 0.0000 0.0000 1
Sn1 0.0000 0.0000 0.5000 1
Bi1 0.0000 0.0000 0.0826 1

***

No. 8
# ScMnIn2 PBE optimized geometry
# Energy of formation from the pure elements ... 0.034 eV per atom
data_ScMnIn2
_symmetry_space_group_name_H-M 'R -3 m'
_symmetry_Int_Tables_number 166
_symmetry_space_group_name_Hall '-R 3 2"'
_cell_length_a 3.2753
_cell_length_b 3.2753
_cell_length_c 28.0060
_cell_angle_alpha 90.00
_cell_angle_beta 90.00
_cell_angle_gamma 120.00
loop_
_atom_site_label
_atom_site_fract_x
_atom_site_fract_y
_atom_site_fract_z
_atom_site_occupancy
Sc1 0.0000 0.0000 0.0000 1
Mn1 0.0000 0.0000 0.5000 1
In1 0.0000 0.0000 0.2447 1

***

No. 9
# SnSbHRh4 PBE optimized geometry
# Total energy ... -171.0 eV/cell
data_SnSbHRh4
_symmetry_space_group_name_H-M 'C m c m'
_symmetry_Int_Tables_number 63
_symmetry_space_group_name_Hall '-C 2c 2'
_cell_length_a 5.606
_cell_length_b 13.296
_cell_length_c 5.612
_cell_angle_alpha 90.00
_cell_angle_beta 90.00
_cell_angle_gamma 90.00
loop_
_atom_site_label
_atom_site_fract_x
_atom_site_fract_y
_atom_site_fract_z
_atom_site_occupancy
Sn1 0.000 0.107 0.250 1
Sb1 0.000 0.388 0.250 1
H1 0.000 0.250 0.750 1
Rh1 0.000 0.088 0.750 1
Rh2 0.000 0.420 0.750 1
Rh3 0.250 0.250 0.000 1

***

No. 10
# Li2Be3Au8 PBE optimized geometry
# Relative energy among the computed polymorphs ... 5 meV/atom
# Energy of formation from the pure elements ... -0.170 eV per atom
data_Li2Be3Au8
_symmetry_space_group_name_H-M 'C 1 2/m 1'
_symmetry_Int_Tables_number 12
_symmetry_space_group_name_Hall '-C 2y'
_cell_length_a 10.638
_cell_length_b 7.802
_cell_length_c 5.120
_cell_angle_alpha 90.00
_cell_angle_beta 105.11
_cell_angle_gamma 90.00
loop_
_atom_site_label
_atom_site_fract_x
_atom_site_fract_y
_atom_site_fract_z
_atom_site_occupancy
Li1 0.128 0.000 0.422 1
Be1 0.000 0.255 0.000 1
Be2 0.000 0.500 0.500 1
Au1 0.112 0.000 0.915 1
Au2 0.132 0.500 0.185 1
Au3 0.169 0.308 0.694 1

***

No. 11
# HfSnS3 PBE optimized geometry
# ΔE_f (raw) ... 173 kJ/mol of formula units
data_HfSnS3
_symmetry_space_group_name_H-M 'P m -3 m'
_symmetry_Int_Tables_number 221
_symmetry_space_group_name_Hall '-P 4 2 3'
_cell_length_a 4.867
_cell_length_b 4.867
_cell_length_c 4.867
_cell_angle_alpha 90.00
_cell_angle_beta 90.00
_cell_angle_gamma 90.00
loop_
_atom_site_label
_atom_site_fract_x
_atom_site_fract_y
_atom_site_fract_z
_atom_site_occupancy
Hf1 0.000 0.000 0.000 1
Sn1 0.500 0.500 0.500 1
S1 0.000 0.500 0.500 1

***

No. 12
# LiScS2Cl PBE optimized geometry
# ΔE_f (raw) ... -561 kJ/mol of formula units
# Relative energy among the computed polymorphs ... 0 meV/atom
data_LiScS2Cl
_symmetry_space_group_name_H-M 'P 4/m m m'
_symmetry_Int_Tables_number 123
_symmetry_space_group_name_Hall '-P 4 2'
_cell_length_a 4.919
_cell_length_b 4.919
_cell_length_c 5.133
_cell_angle_alpha 90.00
_cell_angle_beta 90.00
_cell_angle_gamma 90.00
loop_
_atom_site_label
_atom_site_fract_x
_atom_site_fract_y
_atom_site_fract_z
_atom_site_occupancy
Li1 0.000 0.000 0.000 1
Sc1 0.500 0.500 0.500 1
S1 0.000 0.500 0.500 1
Cl1 0.500 0.500 0.000 1

***

No. 13
# Tb3DyBi2C PBE optimized geometry
# Energy of formation from the pure elements ... -0.646 eV per atom
data_Tb3DyBi2C
_symmetry_space_group_name_H-M 'I m m m'
_symmetry_Int_Tables_number 71
_symmetry_space_group_name_Hall '-I 2 2'
_cell_length_a 4.860
_cell_length_b 4.884
_cell_length_c 16.084
_cell_angle_alpha 90.00
_cell_angle_beta 90.00
_cell_angle_gamma 90.00
loop_
_atom_site_label
_atom_site_fract_x
_atom_site_fract_y
_atom_site_fract_z
_atom_site_occupancy
Tb1 0.000 0.000 0.000 1
Tb2 0.000 0.500 0.153 1
Dy1 0.000 0.000 0.500 1
Bi1 0.000 0.500 0.356 1
C1 0.000 0.500 0.000 1

***

No. 14
# ZnHgW2 PBE optimized geometry
# Relative energy among the computed polymorphs ... 92 meV/atom
# Energy of formation from the pure elements ... 0.470 eV per atom
data_ZnHgW2
_symmetry_space_group_name_H-M 'P 1 m 1'
_symmetry_Int_Tables_number 6
_symmetry_space_group_name_Hall 'P -2y'
_cell_length_a 2.818
_cell_length_b 4.370
_cell_length_c 5.603
_cell_angle_alpha 90.00
_cell_angle_beta 99.82
_cell_angle_gamma 90.00
loop_
_atom_site_label
_atom_site_fract_x
_atom_site_fract_y
_atom_site_fract_z
_atom_site_occupancy
Zn1 0.000 0.000 0.000 1
Hg1 0.033 0.500 0.260 1
W1 0.397 0.500 0.768 1
W2 0.604 0.000 0.539 1

***

No. 15
# CoCuSnHg2 PBE optimized geometry
# Energy of formation from the pure elements ... 1.069 eV per atom
data_CoCuSnHg2
_symmetry_space_group_name_H-M 'P 4/m m m'
_symmetry_Int_Tables_number 123
_symmetry_space_group_name_Hall '-P 4 2'
_cell_length_a 5.583
_cell_length_b 5.583
_cell_length_c 4.883
_cell_angle_alpha 90.00
_cell_angle_beta 90.00
_cell_angle_gamma 90.00
loop_
_atom_site_label
_atom_site_fract_x
_atom_site_fract_y
_atom_site_fract_z
_atom_site_occupancy
Co1 0.000 0.000 0.000 1
Cu1 0.500 0.500 0.000 1
Sn1 0.500 0.500 0.500 1
Hg1 0.000 0.500 0.500 1

***

No. 16
# Hf2ScNi6 PBE optimized geometry
# Energy of formation from the pure elements ... -0.349 eV per atom
data_Hf2ScNi6
_symmetry_space_group_name_H-M 'P -3 m 1'
_symmetry_Int_Tables_number 164
_symmetry_space_group_name_Hall '-P 3 2"'
_cell_length_a 5.1892
_cell_length_b 5.1892
_cell_length_c 5.4987
_cell_angle_alpha 90.00
_cell_angle_beta 90.00
_cell_angle_gamma 120.00
loop_
_atom_site_label
_atom_site_fract_x
_atom_site_fract_y
_atom_site_fract_z
_atom_site_occupancy
Hf1 0.3333 0.6667 0.3191 1
Sc1 0.0000 0.0000 0.5000 1
Ni1 0.1788 0.3577 0.8330 1

***

| no. | Fermi-level density of states (states/eV/f.u.) |
| --- | --- |
| 1 | 6.7 |
| 2 | 11.3 |
| 3 | 3.7 |
| 4 | 5.1 |
| 5 | 0.9 |
| 6 | 2.1 |
| 7 | 1.9 |
| 8 | 3.4 |
| 9 | 2.1 |
| 10 | 3.0 |
| 11 | 5.4 |
| 12 | 3.9 |
| 13 | 5.5 |
| 14 | 1.3 |
| 15 | 3.5 |
| 16 | 2.2 |